# 1
A relaxed structure of AgHg2Br6. Source: Alexandria via LeMat-Bulk, functional PBE-GGA.

Values from the calculation:
E   -1.8313 eV/atom
Calculated volume   37.23 Å³ per atom
Energy relative to the elements, uncorrected   -32 kJ/mol of atoms
Space group   No. 15
Size of the total moment   0.92 μB/f.u.

Cell and atoms, written as POSCAR:
```
AgHg2Br6
1.0
8.144 -5.914 0.000
8.144 5.914 0.000
-3.861 0.000 6.956
Ag Hg Br
2 4 12
Direct
0.178 0.822 0.750 Ag
0.822 0.178 0.250 Ag
0.169 0.354 0.676 Hg
0.354 0.169 0.176 Hg
0.646 0.831 0.824 Hg
0.831 0.646 0.324 Hg
0.039 0.661 0.784 Br
0.058 0.746 0.374 Br
0.254 0.942 0.126 Br
0.320 0.397 0.087 Br
0.339 0.961 0.716 Br
0.397 0.320 0.587 Br
0.603 0.680 0.413 Br
0.661 0.039 0.284 Br
0.680 0.603 0.913 Br
0.746 0.058 0.874 Br
0.942 0.254 0.626 Br
0.961 0.339 0.216 Br
```

---

# 2
A relaxed structure of Ca5La. Source: Alexandria via LeMat-Bulk, functional PBE-GGA.

Values from the calculation:
E   -2.4400 eV/atom
Calculated volume   41.05 Å³ per atom
Space group   No. 38
Size of the total moment   0.08 μB/f.u.
Formation energy from the elements   1.13 kcal/mol of atoms
E above lowest polymorph   0.10 eV/f.u.

Cell and atoms, written as POSCAR:
```
Ca5La
1.0
6.368 0.000 0.000
0.000 1.911 10.119
0.000 -1.911 10.119
Ca La
5 1
Direct
0.000 0.000 0.000 Ca
0.000 0.331 0.331 Ca
0.000 0.668 0.668 Ca
0.500 0.559 0.559 Ca
0.500 0.889 0.889 Ca
0.500 0.224 0.224 La
```

---

# 3
A relaxed structure of ZrMoP2. Source: Alexandria via LeMat-Bulk, functional PBE-GGA.

Values from the calculation:
E   -8.2031 eV/atom
Calculated volume   16.96 Å³ per atom
Space group   No. 166
Size of the total moment   1.43 μB/f.u.
Formation energy from the elements   -15.07 kcal/mol of atoms
E above lowest polymorph   1.10 eV/f.u.

Cell and atoms, written as POSCAR:
```
ZrMoP2
1.0
1.874 1.082 5.578
-1.874 1.082 5.578
0.000 -2.163 5.578
Zr Mo P
1 1 2
Direct
0.000 0.000 0.000 Zr
0.500 0.500 0.500 Mo
0.242 0.242 0.242 P
0.758 0.758 0.758 P
```

---

# 4
A relaxed structure of Sc2BiCl. Source: Alexandria via LeMat-Bulk, functional PBE-GGA.

Values from the calculation:
E   -5.0568 eV/atom
Calculated volume   24.66 Å³ per atom
Energy relative to the elements, uncorrected   -44 kJ/mol of atoms
Space group   No. 166
Size of the total moment   0.00 μB/f.u.
E above lowest polymorph   1.13 eV/f.u.

Cell and atoms, written as POSCAR:
```
Sc2BiCl
1.0
1.691 0.976 9.958
-1.691 0.976 9.958
0.000 -1.953 9.958
Sc Bi Cl
2 1 1
Direct
0.099 0.099 0.099 Sc
0.901 0.901 0.901 Sc
0.000 0.000 0.000 Bi
0.500 0.500 0.500 Cl
```

---

# 5
A relaxed structure of BeSe3. Source: Alexandria via LeMat-Bulk, functional PBE-GGA.

Values from the calculation:
E   -3.4439 eV/atom
Calculated volume   25.12 Å³ per atom
Energy relative to the elements, uncorrected   10 kJ/mol of atoms
Space group   No. 71
Size of the total moment   0.00 μB/f.u.
E above lowest polymorph   0.64 eV/f.u.

Cell and atoms, written as POSCAR:
```
BeSe3
1.0
-1.322 2.757 6.891
1.322 -2.757 6.891
1.322 2.757 -6.891
Be Se
1 3
Direct
0.000 0.000 0.000 Be
0.138 0.638 0.500 Se
0.500 0.500 0.000 Se
0.862 0.362 0.500 Se
```

---

# 6
A relaxed structure of PmGdHo. Source: Alexandria via LeMat-Bulk, functional PBE-GGA.

Values from the calculation:
E   -7.7823 eV/atom
Calculated volume   32.67 Å³ per atom
Space group   No. 107
Size of the total moment   7.32 μB/f.u.
Formation energy from the elements   0.48 kcal/mol of atoms

Cell and atoms, written as POSCAR:
```
PmGdHo
1.0
-1.800 1.800 7.565
1.800 -1.800 7.565
1.800 1.800 -7.565
Pm Gd Ho
1 1 1
Direct
0.000 0.000 0.000 Pm
0.669 0.669 0.000 Gd
0.335 0.335 0.000 Ho
```